# GGA-PBE Np2Ge2Pt3, relaxed
# Energy (eV per atom): -8.1417
# ΔH_f (0 K) (kcal/mol of atoms): -12.4
data_Np2Ge2Pt3
_chemical_formula_sum 'Np4 Ge4 Pt6'
_space_group_name_H-M_alt 'C 1 2/m 1'
_space_group_IT_number 12
_space_group_name_Hall '-C 2y'
_cell_length_a 10.423
_cell_length_b 4.040
_cell_length_c 6.992
_cell_angle_alpha 90.00
_cell_angle_beta 114.98
_cell_angle_gamma 90.00
loop_
_atom_site_label
_atom_site_type_symbol
_atom_site_fract_x
_atom_site_fract_y
_atom_site_fract_z
Np1 Np 0.137 0.000 0.271
Ge1 Ge 0.154 0.000 0.719
Pt1 Pt 0.000 0.500 0.500
Pt2 Pt 0.112 0.500 0.936